6
Lattice="0.0000 3.9915 3.9915 3.9915 0.0000 3.9915 3.9915 3.9915 0.0000" Properties=species:S:1:pos:R:3 comment="In4FeMo | Alexandria | PBE-GGA | optimized geometry" mass_density_g_cm3=8.0 total_energy_ev_per_atom=-4.1474 delta_e_f_kj_per_mol_fu=517 pbc="T T T"
In 4.9898 4.9898 2.9931
In 4.9898 2.9931 4.9898
In 2.9931 2.9931 2.9931
In 2.9931 4.9898 4.9898
Fe 0.0000 0.0000 0.0000
Mo 5.9872 5.9872 5.9872